The following is a GGA-PBE calculation of a geometry-optimized MgZrSn3 structure, from the Alexandria database.

## Properties
* SG: Pm-3m
* relative energy among the computed polymorphs: 0.3772 eV per atom
* ΔH_f (0 K): 699 meV/atom
* uncorrected energy: -3.73 eV/atom

Geometry as POSCAR:
```
MgZrSn3
1.0
5.2377 0.0000 0.0000
0.0000 5.2377 0.0000
0.0000 0.0000 5.2377
Mg Zr Sn
1 1 3
Direct
0.0000 0.0000 0.0000
0.5000 0.5000 0.5000
0.0000 0.0000 0.5000
0.0000 0.5000 0.0000
0.5000 0.0000 0.0000
```

The following is a GGA-PBE calculation of a geometry-optimized MgZrSn2 structure, from the Alexandria database.

## Properties
* SG: I-42d
* ΔH_f (0 K): 26 meV/atom
* uncorrected energy: -4.51 eV/atom

Geometry as POSCAR:
```
MgZrSn2
1.0
-3.9517 3.9517 3.1413
3.9517 -3.9517 3.1413
3.9517 3.9517 -3.1413
Mg Zr Sn
2 2 4
Direct
0.0000 0.0000 0.0000
0.7500 0.2500 0.5000
0.2500 0.7500 0.5000
0.5000 0.5000 0.0000
0.1125 0.6250 0.9875
0.3750 0.3625 0.4875
0.6375 0.1250 0.0125
0.8750 0.8875 0.5125
```

The following is a GGA-PBE calculation of a geometry-optimized Mg2ZrSn2 structure, from the Alexandria database.

## Properties
* SG: P4/mbm
* relative energy among the computed polymorphs: 0.0000 eV per atom
* ΔH_f (0 K): -110 meV/atom
* uncorrected energy: -4.06 eV/atom

Geometry as POSCAR:
```
Mg2ZrSn2
1.0
8.0930 0.0000 0.0000
0.0000 8.0930 0.0000
0.0000 0.0000 3.5593
Mg Zr Sn
4 2 4
Direct
0.1459 0.3541 0.0000
0.3541 0.8541 0.0000
0.6459 0.1459 0.0000
0.8541 0.6459 0.0000
0.0000 0.0000 0.5000
0.5000 0.5000 0.5000
0.1545 0.6545 0.5000
0.3455 0.1545 0.5000
0.6545 0.8455 0.5000
0.8455 0.3455 0.5000
```

The following is a GGA-PBE calculation of a geometry-optimized Mg2ZrSn2 structure, from the Alexandria database.

## Properties
* SG: P4/mbm
* relative energy among the computed polymorphs: 0.0738 eV per atom
* ΔH_f (0 K): -36 meV/atom
* uncorrected energy: -3.98 eV/atom

Geometry as POSCAR:
```
Mg2ZrSn2
1.0
8.2389 0.0000 0.0000
0.0000 8.2389 0.0000
0.0000 0.0000 3.3495
Mg Zr Sn
4 2 4
Direct
0.1231 0.3769 0.0000
0.3769 0.8769 0.0000
0.6231 0.1231 0.0000
0.8769 0.6231 0.0000
0.0000 0.0000 0.0000
0.5000 0.5000 0.0000
0.1777 0.6777 0.5000
0.3223 0.1777 0.5000
0.6777 0.8223 0.5000
0.8223 0.3223 0.5000
```

The following is a GGA-PBE calculation of a geometry-optimized Mg14ZrSn structure, from the Alexandria database.

## Properties
* SG: P-6m2
* relative energy among the computed polymorphs: 0.0169 eV per atom
* ΔH_f (0 K): -17 meV/atom
* uncorrected energy: -2.20 eV/atom

Geometry as POSCAR:
```
Mg14ZrSn
1.0
6.4183 0.0000 0.0000
-3.2091 5.5584 0.0000
0.0000 0.0000 10.2061
Mg Zr Sn
14 1 1
Direct
0.0000 0.0000 0.2433
0.0000 0.0000 0.7567
0.0078 0.5039 0.2490
0.0078 0.5039 0.7510
0.3293 0.1647 0.5000
0.3411 0.1706 0.0000
0.4961 0.5039 0.2490
0.4961 0.5039 0.7510
0.4961 0.9922 0.2490
0.4961 0.9922 0.7510
0.8294 0.1706 0.0000
0.8294 0.6589 0.0000
0.8353 0.1647 0.5000
0.8353 0.6707 0.5000
0.3333 0.6667 0.0000
0.3333 0.6667 0.5000
```

The following is a GGA-PBE calculation of a geometry-optimized MgZr2Sn structure, from the Alexandria database.

## Properties
* SG: P1
* ΔH_f (0 K): -82 meV/atom
* uncorrected energy: -5.76 eV/atom

Geometry as POSCAR:
```
MgZr2Sn
1.0
3.1802 0.0000 0.0000
-1.5872 2.7598 0.0000
-0.0248 -1.8210 10.5316
Mg Zr Sn
1 2 1
Direct
0.0000 0.0000 0.0000
0.2515 0.4968 0.7426
0.4143 0.8308 0.2568
0.8332 0.6632 0.4998
```

The following is a GGA-PBE calculation of a geometry-optimized MgZr2Sn structure, from the Alexandria database.

## Properties
* SG: I-42d
* ΔH_f (0 K): 100 meV/atom
* uncorrected energy: -5.57 eV/atom

Geometry as POSCAR:
```
MgZr2Sn
1.0
-4.0066 4.0066 2.9649
4.0066 -4.0066 2.9649
4.0066 4.0066 -2.9649
Mg Zr Sn
2 4 2
Direct
0.0000 0.0000 0.0000
0.7500 0.2500 0.5000
0.1324 0.6250 0.0074
0.3750 0.3824 0.5074
0.6176 0.1250 0.9926
0.8750 0.8676 0.4926
0.2500 0.7500 0.5000
0.5000 0.5000 0.0000
```

The following is a GGA-PBE calculation of a geometry-optimized MgZr3Sn structure, from the Alexandria database.

## Properties
* SG: Pm-3m
* relative energy among the computed polymorphs: 0.0000 eV per atom
* ΔH_f (0 K): 730 meV/atom
* uncorrected energy: -5.52 eV/atom

Geometry as POSCAR:
```
MgZr3Sn
1.0
5.3279 0.0000 0.0000
0.0000 5.3279 0.0000
0.0000 0.0000 5.3279
Mg Zr Sn
1 3 1
Direct
0.0000 0.0000 0.0000
0.0000 0.5000 0.5000
0.5000 0.0000 0.5000
0.5000 0.5000 0.0000
0.5000 0.5000 0.5000
```

The following is a GGA-PBE calculation of a geometry-optimized Mg2ZrSn4 structure, from the Alexandria database.

## Properties
* SG: I4/mmm
* ΔH_f (0 K): 193 meV/atom
* uncorrected energy: -3.77 eV/atom

Geometry as POSCAR:
```
Mg2ZrSn4
1.0
-2.7955 2.7955 7.1480
2.7955 -2.7955 7.1480
2.7955 2.7955 -7.1480
Mg Zr Sn
2 1 4
Direct
0.1060 0.1060 0.0000
0.8940 0.8940 0.0000
0.5000 0.5000 0.0000
0.0000 0.5000 0.5000
0.3038 0.3038 0.0000
0.5000 0.0000 0.5000
0.6962 0.6962 0.0000
```

The following is a GGA-PBE calculation of a geometry-optimized MgZrSn2 structure, from the Alexandria database.

## Properties
* SG: R-3m
* ΔH_f (0 K): -255 meV/atom
* uncorrected energy: -4.79 eV/atom

Geometry as POSCAR:
```
MgZrSn2
1.0
1.6822 0.9712 9.5413
-1.6822 0.9712 9.5413
0.0000 -1.9425 9.5413
Mg Zr Sn
1 1 2
Direct
0.0000 0.0000 0.0000
0.5000 0.5000 0.5000
0.2508 0.2508 0.2508
0.7492 0.7492 0.7492
```

The following is a GGA-PBE calculation of a geometry-optimized MgZr2Sn structure, from the Alexandria database.

## Properties
* SG: P4/mmm
* ΔH_f (0 K): -313 meV/atom
* uncorrected energy: -5.99 eV/atom

Geometry as POSCAR:
```
MgZr2Sn
1.0
4.3994 0.0000 0.0000
0.0000 4.3994 0.0000
0.0000 0.0000 4.5162
Mg Zr Sn
1 2 1
Direct
0.0000 0.0000 0.0000
0.0000 0.5000 0.5000
0.5000 0.0000 0.5000
0.5000 0.5000 0.0000
```

The following is a GGA-PBE calculation of a geometry-optimized MgZrSn2 structure, from the Alexandria database.

## Properties
* SG: R3m
* ΔH_f (0 K): -157 meV/atom
* uncorrected energy: -4.69 eV/atom

Geometry as POSCAR:
```
MgZrSn2
1.0
2.1995 1.2699 6.1637
-2.1995 1.2699 6.1637
0.0000 -2.5398 6.1637
Mg Zr Sn
1 1 2
Direct
0.0000 0.0000 0.0000
0.1760 0.1760 0.1760
0.5910 0.5910 0.5910
0.7562 0.7562 0.7562
```

The following is a GGA-PBE calculation of a geometry-optimized MgZr2Sn structure, from the Alexandria database.

## Properties
* SG: R-3m
* ΔH_f (0 K): 143 meV/atom
* uncorrected energy: -5.53 eV/atom

Geometry as POSCAR:
```
MgZr2Sn
1.0
1.5822 0.9135 11.2426
-1.5822 0.9135 11.2426
0.0000 -1.8269 11.2426
Mg Zr Sn
1 2 1
Direct
0.0000 0.0000 0.0000
0.4131 0.4131 0.4131
0.5869 0.5869 0.5869
0.5000 0.5000 0.5000
```

The following is a GGA-PBE calculation of a geometry-optimized Mg14ZrSn structure, from the Alexandria database.

## Properties
* SG: Amm2
* relative energy among the computed polymorphs: 0.0000 eV per atom
* ΔH_f (0 K): -34 meV/atom
* uncorrected energy: -2.21 eV/atom

Geometry as POSCAR:
```
Mg14ZrSn
1.0
10.4221 0.0000 0.0000
0.0000 3.1256 5.5675
0.0000 -3.1256 5.5675
Mg Zr Sn
14 1 1
Direct
0.0000 0.0000 0.0000
0.0000 0.0003 0.5002
0.0000 0.5002 0.0003
0.0000 0.5004 0.5004
0.2498 0.1596 0.6688
0.2504 0.1612 0.1612
0.2502 0.6650 0.6650
0.2498 0.6688 0.1596
0.5000 0.0015 0.4975
0.5000 0.4975 0.0015
0.7502 0.1596 0.6688
0.7496 0.1612 0.1612
0.7498 0.6650 0.6650
0.7502 0.6688 0.1596
0.5000 0.9997 0.9997
0.5000 0.4994 0.4994
```

The following is a GGA-PBE calculation of a geometry-optimized MgZrSn2 structure, from the Alexandria database.

## Properties
* SG: P4/mmm
* ΔH_f (0 K): -252 meV/atom
* uncorrected energy: -4.79 eV/atom

Geometry as POSCAR:
```
MgZrSn2
1.0
4.6826 0.0000 0.0000
0.0000 4.6826 0.0000
0.0000 0.0000 4.1372
Mg Zr Sn
1 1 2
Direct
0.0000 0.0000 0.0000
0.5000 0.5000 0.0000
0.0000 0.5000 0.5000
0.5000 0.0000 0.5000
```

The following is a GGA-PBE calculation of a geometry-optimized MgZrSn3 structure, from the Alexandria database.

## Properties
* SG: Pm-3m
* relative energy among the computed polymorphs: 0.0000 eV per atom
* ΔH_f (0 K): 322 meV/atom
* uncorrected energy: -4.11 eV/atom

Geometry as POSCAR:
```
MgZrSn3
1.0
5.5709 0.0000 0.0000
0.0000 5.5709 0.0000
0.0000 0.0000 5.5709
Mg Zr Sn
1 1 3
Direct
0.0000 0.0000 0.0000
0.5000 0.5000 0.5000
0.0000 0.5000 0.5000
0.5000 0.0000 0.5000
0.5000 0.5000 0.0000
```

The following is a GGA-PBE calculation of a geometry-optimized SrMg5 structure, from the Alexandria database.

## Properties
* SG: P-6m2
* relative energy among the computed polymorphs: 0.1725 eV per atom
* ΔH_f (0 K): 130 meV/atom
* uncorrected energy: -1.48 eV/atom

Geometry as POSCAR:
```
SrMg5
1.0
3.4098 0.0000 0.0000
-1.7049 2.9530 0.0000
0.0000 0.0000 16.1756
Sr Mg
1 5
Direct
0.0000 0.0000 0.0000
0.0000 0.0000 0.3454
0.0000 0.0000 0.6546
0.3333 0.6667 0.1886
0.3333 0.6667 0.5000
0.3333 0.6667 0.8114
```

The following is a GGA-PBE calculation of a geometry-optimized Sr7Mg structure, from the Alexandria database.

## Properties
* SG: Fm-3m
* ΔH_f (0 K): 48 meV/atom
* uncorrected energy: -1.62 eV/atom

Geometry as POSCAR:
```
Sr7Mg
1.0
0.0000 5.8629 5.8629
5.8629 0.0000 5.8629
5.8629 5.8629 0.0000
Sr Mg
7 1
Direct
0.0000 0.0000 0.0000
0.0000 0.0000 0.5000
0.0000 0.5000 0.0000
0.0000 0.5000 0.5000
0.5000 0.0000 0.0000
0.5000 0.0000 0.5000
0.5000 0.5000 0.0000
0.5000 0.5000 0.5000
```

The following is a GGA-PBE calculation of a geometry-optimized SrMg structure, from the Alexandria database.

## Properties
* SG: C2
* ΔH_f (0 K): -5 meV/atom
* uncorrected energy: -1.64 eV/atom

Geometry as POSCAR:
```
SrMg
1.0
5.8397 -3.3710 0.0000
5.8397 3.3710 0.0000
-3.8924 0.0000 5.7357
Sr Mg
3 3
Direct
0.0000 0.0000 0.0000
0.3835 0.3832 0.1506
0.6168 0.6165 0.8494
0.4993 0.0006 0.5003
0.9995 0.0005 0.5000
0.9994 0.5007 0.4997
```

The following is a GGA-PBE calculation of a geometry-optimized SrMg structure, from the Alexandria database.

## Properties
* SG: P-3m1
* ΔH_f (0 K): 135 meV/atom
* uncorrected energy: -1.50 eV/atom

Geometry as POSCAR:
```
SrMg
1.0
3.9975 0.0000 0.0000
-1.9988 3.4619 0.0000
0.0000 0.0000 11.3858
Sr Mg
2 2
Direct
0.3333 0.6667 0.3437
0.6667 0.3333 0.6563
0.3333 0.6667 0.9039
0.6667 0.3333 0.0961
```

The following is a GGA-PBE calculation of a geometry-optimized SrMg structure, from the Alexandria database.

## Properties
* SG: P6_3/mmc
* ΔH_f (0 K): 485 meV/atom
* uncorrected energy: -1.15 eV/atom

Geometry as POSCAR:
```
SrMg
1.0
6.0022 0.0000 0.0000
-3.0011 5.1980 0.0000
0.0000 0.0000 7.0386
Sr Mg
2 2
Direct
0.3333 0.6667 0.2500
0.6667 0.3333 0.7500
0.3333 0.6667 0.7500
0.6667 0.3333 0.2500
```

The following is a GGA-PBE calculation of a geometry-optimized SrMg structure, from the Alexandria database.

## Properties
* SG: P4_2/mnm
* ΔH_f (0 K): 168 meV/atom
* uncorrected energy: -1.47 eV/atom

Geometry as POSCAR:
```
SrMg
1.0
6.8903 0.0000 0.0000
0.0000 6.8903 0.0000
0.0000 0.0000 6.9513
Sr Mg
4 4
Direct
0.1970 0.1970 0.0000
0.3030 0.6970 0.5000
0.6970 0.3030 0.5000
0.8030 0.8030 0.0000
0.1788 0.1788 0.5000
0.3212 0.6788 0.0000
0.6788 0.3212 0.0000
0.8212 0.8212 0.5000
```

The following is a GGA-PBE calculation of a geometry-optimized SrMg structure, from the Alexandria database.

## Properties
* SG: P6_3/mmc
* ΔH_f (0 K): 8 meV/atom
* uncorrected energy: -1.63 eV/atom

Geometry as POSCAR:
```
SrMg
1.0
9.9869 0.0000 0.0000
-4.9935 8.6489 0.0000
0.0000 0.0000 5.5579
Sr Mg
6 6
Direct
0.1808 0.3616 0.2500
0.1808 0.8192 0.2500
0.3616 0.1808 0.7500
0.6384 0.8192 0.2500
0.8192 0.1808 0.7500
0.8192 0.6384 0.7500
0.1250 0.5625 0.7500
0.4375 0.5625 0.7500
0.4375 0.8750 0.7500
0.5625 0.1250 0.2500
0.5625 0.4375 0.2500
0.8750 0.4375 0.2500
```

The following is a GGA-PBE calculation of a geometry-optimized SrMg structure, from the Alexandria database.

## Properties
* SG: Pmmn
* ΔH_f (0 K): 98 meV/atom
* uncorrected energy: -1.54 eV/atom

Geometry as POSCAR:
```
SrMg
1.0
3.9775 0.0000 0.0000
0.0000 6.2156 0.0000
0.0000 0.0000 6.1944
Sr Mg
2 2
Direct
0.2500 0.2500 0.1116
0.7500 0.7500 0.8884
0.2500 0.7500 0.4005
0.7500 0.2500 0.5995
```

The following is a GGA-PBE calculation of a geometry-optimized Sr3Mg structure, from the Alexandria database.

## Properties
* SG: Pnma
* ΔH_f (0 K): 11 meV/atom
* uncorrected energy: -1.65 eV/atom

Geometry as POSCAR:
```
Sr3Mg
1.0
9.4425 0.0000 0.0000
0.0000 11.0015 0.0000
0.0000 0.0000 7.4009
Sr Mg
12 4
Direct
0.0294 0.2500 0.1132
0.1806 0.0552 0.6370
0.1806 0.4448 0.6370
0.3194 0.5552 0.1370
0.3194 0.9448 0.1370
0.4706 0.7500 0.6132
0.5294 0.2500 0.3868
0.6806 0.0552 0.8630
0.6806 0.4448 0.8630
0.8194 0.5552 0.3630
0.8194 0.9448 0.3630
0.9706 0.7500 0.8868
0.1163 0.7500 0.4285
0.3837 0.2500 0.9285
0.6163 0.7500 0.0715
0.8837 0.2500 0.5715
```